First-principles (GGA+U) data for an optimized crystal structure of La2WO6, as listed in Alexandria.

Lattice parameters (Å, degrees): 5.7293 6.0992 8.3982 90.00 95.37 90.00
Atoms (fractional coordinates):
O 0.1585 0.0943 0.7033
La 0.0370 0.5718 0.2363
W 0.0000 0.0000 0.5000
O 0.2243 0.3314 0.0465
La 0.4630 0.0718 0.2637
O 0.8619 0.7490 0.6053
La 0.5370 0.9282 0.7363
O 0.3415 0.5943 0.7967
La 0.9630 0.4282 0.7637
O 0.8415 0.9057 0.2967
O 0.1381 0.2510 0.3947
O 0.7757 0.6686 0.9535
O 0.3619 0.7510 0.1053
O 0.6585 0.4057 0.2033
W 0.5000 0.5000 0.0000
O 0.6381 0.2490 0.8947
O 0.2757 0.8314 0.4535
O 0.7243 0.1686 0.5465

For the calculated total energy, the calculation gives -8.133 eV/atom. The total moment is 0.00 μB per cell. The value obtained for the density of states at the Fermi level is 0.000 states/eV/atom.